No. 1
This record from Alexandria describes an optimized crystal structure of Ca2ZnPb. The functional is PBE.

CIF file:
```
data_Ca2ZnPb
_chemical_formula_sum 'Ca4 Zn2 Pb2'
_cell_length_a 3.798
_cell_length_b 5.225
_cell_length_c 11.390
_cell_angle_alpha 90.00
_cell_angle_beta 90.00
_cell_angle_gamma 90.00
_space_group_name_H-M_alt 'I m m 2'
_space_group_IT_number 44
loop_
_space_group_symop_operation_xyz
'x,y,z'
'-x,-y,z'
'-x,y,z'
'x,-y,z'
'x+1/2,y+1/2,z+1/2'
'-x+1/2,-y+1/2,z+1/2'
'-x+1/2,y+1/2,z+1/2'
'x+1/2,-y+1/2,z+1/2'
loop_
_atom_site_label
_atom_site_fract_x
_atom_site_fract_y
_atom_site_fract_z
_atom_site_occupancy
Ca1 0.000 0.000 0.000 1
Ca2 0.000 0.500 0.213 1
Zn1 0.000 0.000 0.482 1
Pb1 0.000 0.500 0.781 1
```

Summary:
- total moment (Bohr magnetons per cell) = 0.000
- final energy (eV per cell) = -20.44



No. 2
This record from Alexandria describes an optimized crystal structure of CdAgTe. The functional is PBE.

CIF file:
```
data_CdAgTe
_chemical_formula_sum 'Cd4 Ag4 Te4'
_cell_length_a 6.828
_cell_length_b 6.828
_cell_length_c 6.828
_cell_angle_alpha 90.00
_cell_angle_beta 90.00
_cell_angle_gamma 90.00
_space_group_name_H-M_alt 'F -4 3 m'
_space_group_IT_number 216
_space_group_name_Hall 'F -4 2 3'
loop_
_atom_site_label
_atom_site_fract_x
_atom_site_fract_y
_atom_site_fract_z
_atom_site_occupancy
Cd1 0.000 0.000 0.000 1
Ag1 0.250 0.250 0.750 1
Te1 0.000 0.000 0.500 1
```

Summary:
- energy relative to the elements, uncorrected (meV/atom) = -43.9
- total moment (Bohr magnetons per cell) = 0.000
- final energy (eV per cell) = -28.16
- distance to the lowest polymorph of the same formula (eV per atom) = 0.030